# PmSmZnGa, optimized geometry, DFT PBE
# E_form in meV per atom: -455
# VASP energy in eV/atom: -3.90
# Calculated density in Mg/m³: 7.28
# Size of the total moment in μB per cell: 0.00
data_PmSmZnGa
_cell_length_a 7.322
_cell_length_b 7.322
_cell_length_c 7.322
_cell_angle_alpha 90.00
_cell_angle_beta 90.00
_cell_angle_gamma 90.00
_symmetry_space_group_name_H-M 'F -4 3 m'
_symmetry_Int_Tables_number 216
_symmetry_space_group_name_Hall 'F -4 2 3'
loop_
_atom_site_label
_atom_site_fract_x
_atom_site_fract_y
_atom_site_fract_z
Pm1 0.000 0.000 0.000
Sm1 0.000 0.000 0.500
Zn1 0.250 0.250 0.750
Ga1 0.250 0.250 0.250

***

# UFe5Sn, optimized geometry, DFT PBE
# E_form in meV per atom: -37
# VASP energy in eV/atom: -8.27
# Calculated density in Mg/m³: 10.33
# Size of the total moment in μB per cell: 29.05
data_UFe5Sn
_cell_length_a 7.986
_cell_length_b 4.843
_cell_length_c 10.578
_cell_angle_alpha 90.00
_cell_angle_beta 90.00
_cell_angle_gamma 90.00
_symmetry_space_group_name_H-M 'P n m a'
_symmetry_Int_Tables_number 62
_symmetry_space_group_name_Hall '-P 2ac 2n'
loop_
_atom_site_label
_atom_site_fract_x
_atom_site_fract_y
_atom_site_fract_z
U1 0.240 0.250 0.059
Fe1 0.069 0.502 0.813
Fe2 0.073 0.250 0.606
Fe3 0.090 0.750 0.019
Fe4 0.184 0.750 0.251
Sn1 0.133 0.250 0.361

***

# CsP2PdCl, optimized geometry, DFT PBE
# Energy above the lowest structure with this stoichiometry in eV/atom: 1.784
# Formation energy from raw total energies in eV per formula unit: 8.1
# VASP energy in eV/atom: -2.13
# Calculated density in Mg/m³: 2.43
# Size of the total moment in μB per cell: 4.03
data_CsP2PdCl
_cell_length_a 6.070
_cell_length_b 6.070
_cell_length_c 6.238
_cell_angle_alpha 90.00
_cell_angle_beta 90.00
_cell_angle_gamma 90.00
_symmetry_space_group_name_H-M 'P 4/m m m'
_symmetry_Int_Tables_number 123
_symmetry_space_group_name_Hall '-P 4 2'
loop_
_atom_site_label
_atom_site_fract_x
_atom_site_fract_y
_atom_site_fract_z
Cs1 0.000 0.000 0.000
P1 0.000 0.500 0.000
Pd1 0.500 0.500 0.500
Cl1 0.000 0.000 0.500

***

Question: Which of these has the highest size of the total moment?
Answer: UFe5Sn

***

Question: The lowest calculated density belongs to which entry?
Answer: CsP2PdCl

***

Question: The lowest calculated density belongs to which entry?
Answer: CsP2PdCl